[1]
K5LiAs2 | GGA-PBE | relaxed

Unit cell a=5.8244 b=5.8244 c=19.4721 alpha=90.00 beta=90.00 gamma=120.00
Element x y z (fractional)
As1 0.3333 0.6667 0.3756
As2 0.6667 0.3333 0.6244
As3 0.3333 0.6667 0.1244
As4 0.6667 0.3333 0.8756
K1 0.6667 0.3333 0.4500
K2 0.0000 0.0000 0.6349
K3 0.0000 0.0000 0.3651
K4 0.0000 0.0000 0.1349
K5 0.3333 0.6667 0.7500
K6 0.6667 0.3333 0.2500
K7 0.3333 0.6667 0.5500
K8 0.6667 0.3333 0.0500
K9 0.0000 0.0000 0.8651
K10 0.3333 0.6667 0.9500
Li1 0.6667 0.3333 0.7500
Li2 0.3333 0.6667 0.2500

Density of states at the Fermi level = 6.67 states/eV/cell
Volume = 286.0 Å³/f.u.
M_tot = 0.0 μB/f.u.

=====

[2]
K2LiAs | GGA-PBE | relaxed

Unit cell a=4.8621 b=4.8621 c=6.9609 alpha=69.49 beta=69.49 gamma=60.03
Element x y z (fractional)
K1 0.2200 0.2200 0.3406
K2 0.0283 0.0283 0.9142
As1 0.7922 0.7922 0.6232
Li1 0.4595 0.4595 0.6220

Density of states at the Fermi level = 0.71 states/eV/cell
Volume = 130.4 Å³/f.u.
M_tot = 0.0 μB/f.u.

=====

[3]
K2LiAs | GGA-PBE | relaxed

Unit cell a=11.8915 b=11.8915 c=11.8915 alpha=18.56 beta=18.56 gamma=18.56
Element x y z (fractional)
Li1 0.2500 0.2500 0.2500
As1 0.7500 0.7500 0.7500
K1 0.0151 0.0151 0.0151
K2 0.4849 0.4849 0.4849

Density of states at the Fermi level = 2.63 states/eV/cell
Volume = 148.8 Å³/f.u.
M_tot = 0.3 μB/f.u.

=====

[4]
KLiAs | GGA-PBE | relaxed

Unit cell a=3.5407 b=7.2715 c=16.2818 alpha=90.00 beta=90.00 gamma=90.00
Element x y z (fractional)
As1 0.5000 0.3339 0.0000
As2 0.5000 0.6661 0.0000
As3 0.5000 0.3338 0.5000
As4 0.5000 0.6662 0.5000
K1 0.5000 0.0000 0.6290
K2 0.5000 0.0000 0.1288
K3 0.5000 0.0000 0.3710
K4 0.5000 0.0000 0.8712
Li1 0.5000 0.5000 0.1384
Li2 0.5000 0.5000 0.8616
Li3 0.5000 0.5000 0.6383
Li4 0.5000 0.5000 0.3617

Density of states at the Fermi level = 6.38 states/eV/cell
Volume = 104.8 Å³/f.u.
M_tot = 0.0 μB/f.u.

=====

Energy of formation for the records above, in order: -0.392, -0.399, 0.148, -0.056 eV/atom